## i
SmDy2Y: optimized geometry, GGA-PBE.

abc: 3.5956 3.5956 34.6437
angles: 90.00 90.00 120.00
Space group R3m (No. 160, hexagonal axes)
Unique sites:
Sm1 0.0000 0.0000 0.0000 (multiplicity 3)
Dy1 0.0000 0.0000 0.5824 (multiplicity 3)
Dy2 0.0000 0.0000 0.7500 (multiplicity 3)
Y1 0.0000 0.0000 0.1661 (multiplicity 3)


## ii
SmDy2Y: optimized geometry, GGA-PBE.

abc: 3.5722 3.5722 34.9281
angles: 90.00 90.00 120.00
Space group R-3m (No. 166, hexagonal axes)
Unique sites:
Sm1 0.0000 0.0000 0.0000 (multiplicity 3)
Dy1 0.0000 0.0000 0.2495 (multiplicity 6)
Y1 0.0000 0.0000 0.5000 (multiplicity 3)


## iii
SmDy2Y: optimized geometry, GGA-PBE.

abc: 11.6284 6.0839 7.2950
angles: 90.00 90.00 90.00
Space group Pna2_1 (No. 33)
Unique sites:
Sm1 0.1230 0.1646 0.0000 (multiplicity 4)
Dy1 0.1215 0.6676 0.7499 (multiplicity 4)
Dy2 0.1221 0.1649 0.4997 (multiplicity 4)
Y1 0.1201 0.6657 0.2500 (multiplicity 4)


Winner for stability: i


## i
SmDy2Y: optimized geometry, GGA-PBE.

abc: 5.0498 5.0498 5.0526
angles: 90.00 90.00 90.00
Space group P4/mmm (No. 123)
Unique sites:
Sm1 0.0000 0.0000 0.0000 (multiplicity 1)
Dy1 0.0000 0.5000 0.5000 (multiplicity 2)
Y1 0.5000 0.5000 0.0000 (multiplicity 1)


## ii
SmDy2Y: optimized geometry, GGA-PBE.

abc: 8.0584 8.0584 8.0584
angles: 90.00 90.00 90.00
Space group Fm-3m (No. 225)
Unique sites:
Sm1 0.0000 0.0000 0.0000 (multiplicity 4)
Dy1 0.2500 0.2500 0.2500 (multiplicity 8)
Y1 0.0000 0.0000 0.5000 (multiplicity 4)


## iii
SmDy2Y: optimized geometry, GGA-PBE.

abc: 3.6476 11.3928 6.2964
angles: 90.00 90.00 90.00
Space group Imm2 (No. 44)
Unique sites:
Sm1 0.0000 0.0000 0.0000 (multiplicity 2)
Dy1 0.0000 0.2496 0.6664 (multiplicity 4)
Y1 0.0000 0.5000 0.9988 (multiplicity 2)


Winner for stability: iii


## i
Sm3Dy5Y2: optimized geometry, GGA-PBE.

abc: 11.3303 17.6911 6.6824
angles: 90.00 90.00 90.00
Space group Ibam (No. 72)
Unique sites:
Sm1 0.0000 0.0000 0.2500 (multiplicity 4)
Sm2 0.2128 0.3277 0.0000 (multiplicity 8)
Dy1 0.0000 0.1808 0.2500 (multiplicity 8)
Dy2 0.0000 0.5000 0.2500 (multiplicity 4)
Dy3 0.0924 0.3305 0.5000 (multiplicity 8)
Y1 0.2349 0.0301 0.0000 (multiplicity 8)


## ii
Sm3Dy5Y2: optimized geometry, GGA-PBE.

abc: 10.7150 15.6927 9.5225
angles: 90.00 123.88 90.00
Space group C2/c (No. 15)
Unique sites:
Sm1 0.0000 0.2316 0.2500 (multiplicity 4)
Sm2 0.1434 0.1250 0.0479 (multiplicity 8)
Dy1 0.0000 0.0231 0.2500 (multiplicity 4)
Dy2 0.0000 0.2715 0.7500 (multiplicity 4)
Dy3 0.0000 0.4703 0.7500 (multiplicity 4)
Dy4 0.2357 0.3828 0.2225 (multiplicity 8)
Y1 0.1548 0.3807 0.5466 (multiplicity 8)


Winner for stability: ii


## i
Sm5DyY2: optimized geometry, GGA-PBE.

abc: 7.2128 14.4266 5.0873
angles: 90.00 90.00 90.00
Space group Pbam (No. 55)
Unique sites:
Sm1 0.0000 0.0000 0.0000 (multiplicity 2)
Sm2 0.9998 0.2507 0.0000 (multiplicity 4)
Sm3 0.2504 0.1246 0.5000 (multiplicity 4)
Dy1 0.0000 0.5000 0.0000 (multiplicity 2)
Y1 0.2496 0.3757 0.5000 (multiplicity 4)


## ii
Sm5DyY2: optimized geometry, GGA-PBE.

abc: 5.7990 11.3517 8.6319
angles: 90.00 106.41 90.00
Space group P2_1/m (No. 11)
Unique sites:
Sm1 0.1666 0.0777 0.2123 (multiplicity 4)
Sm2 0.2613 0.7500 0.5766 (multiplicity 2)
Sm3 0.3039 0.0794 0.6223 (multiplicity 4)
Dy1 0.0051 0.2500 0.8500 (multiplicity 2)
Y1 0.3874 0.6175 0.9639 (multiplicity 4)


Winner for stability: i


## i
Sm4DyY: optimized geometry, GGA-PBE.

abc: 3.6004 6.2404 9.5378
angles: 77.39 79.23 73.49
Space group P-1 (No. 2)
Unique sites:
Sm1 0.1661 0.9995 0.1675 (multiplicity 2)
Sm2 0.1661 0.5012 0.6659 (multiplicity 2)
Dy1 0.5000 0.0000 0.5000 (multiplicity 1)
Y1 0.5000 0.5000 0.0000 (multiplicity 1)


## ii
Sm4DyY: optimized geometry, GGA-PBE.

abc: 9.3888 9.3888 9.3888
angles: 90.00 90.00 90.00
Space group F-43m (No. 216)
Unique sites:
Sm1 0.1250 0.1250 0.1250 (multiplicity 16)
Dy1 0.0000 0.0000 0.5000 (multiplicity 4)
Y1 0.2500 0.2500 0.7500 (multiplicity 4)


## iii
Sm4DyY: optimized geometry, GGA-PBE.

abc: 11.6616 11.6888 3.4676
angles: 90.00 90.00 90.00
Space group Cmmm (No. 65)
Unique sites:
Sm1 0.0000 0.2404 0.0000 (multiplicity 4)
Sm2 0.2385 0.5000 0.5000 (multiplicity 4)
Dy1 0.0000 0.5000 0.0000 (multiplicity 2)
Y1 0.0000 0.0000 0.5000 (multiplicity 2)


Winner for stability: i


## i
Sm2Dy3Y: optimized geometry, GGA-PBE.

abc: 17.1515 5.6237 9.8990
angles: 90.00 125.20 90.00
Space group C2/m (No. 12)
Unique sites:
Sm1 0.0062 0.0000 0.1570 (multiplicity 4)
Sm2 0.2335 0.5000 0.5892 (multiplicity 4)
Dy1 0.0431 0.5000 0.7026 (multiplicity 4)
Dy2 0.1140 0.0000 0.5713 (multiplicity 4)
Dy3 0.2120 0.0000 0.9964 (multiplicity 4)
Y1 0.1308 0.5000 0.1343 (multiplicity 4)


## ii
Sm2Dy3Y: optimized geometry, GGA-PBE.

abc: 14.9450 9.6816 5.9913
angles: 90.00 113.62 90.00
Space group C2/c (No. 15)
Unique sites:
Sm1 0.1338 0.2184 0.3857 (multiplicity 8)
Dy1 0.0000 0.1082 0.7500 (multiplicity 4)
Dy2 0.2338 0.4168 0.9789 (multiplicity 8)
Y1 0.0000 0.5000 0.0000 (multiplicity 4)


Winner for stability: i


## i
Sm5DyY3: optimized geometry, GGA-PBE.

abc: 16.3740 6.7630 11.5931
angles: 90.00 110.06 90.00
Space group C2/c (No. 15)
Unique sites:
Sm1 0.0000 0.1841 0.2500 (multiplicity 4)
Sm2 0.1101 0.0029 0.5489 (multiplicity 8)
Sm3 0.1717 0.4070 0.3502 (multiplicity 8)
Dy1 0.0000 0.2630 0.7500 (multiplicity 4)
Y1 0.0000 0.5000 0.0000 (multiplicity 4)
Y2 0.2392 0.1005 0.8690 (multiplicity 8)


## ii
Sm5DyY3: optimized geometry, GGA-PBE.

abc: 15.2626 11.6301 9.9391
angles: 90.00 129.75 90.00
Space group C2/m (No. 12)
Unique sites:
Sm1 0.0000 0.2461 0.0000 (multiplicity 4)
Sm2 0.1506 0.2481 0.7458 (multiplicity 8)
Sm3 0.2244 0.5000 0.0451 (multiplicity 4)
Sm4 0.2275 0.0000 0.2363 (multiplicity 4)
Dy1 0.2481 0.0000 0.5939 (multiplicity 4)
Y1 0.0000 0.0000 0.5000 (multiplicity 2)
Y2 0.0000 0.5000 0.0000 (multiplicity 2)
Y3 0.0089 0.0000 0.8244 (multiplicity 4)
Y4 0.0162 0.5000 0.3547 (multiplicity 4)


Winner for stability: i


## i
Sm4Dy2Y: optimized geometry, GGA-PBE.

abc: 3.5873 21.6444 12.2551
angles: 90.00 90.00 90.00
Space group Cmcm (No. 63)
Unique sites:
Sm1 0.0000 0.0000 0.0000 (multiplicity 4)
Sm2 0.0000 0.2364 0.1220 (multiplicity 8)
Sm3 0.0000 0.4346 0.7500 (multiplicity 4)
Dy1 0.0000 0.3729 0.0104 (multiplicity 8)
Y1 0.0000 0.1067 0.7500 (multiplicity 4)


## ii
Sm4Dy2Y: optimized geometry, GGA-PBE.

abc: 6.2276 6.6137 11.5876
angles: 90.00 104.64 90.00
Space group P2_1/m (No. 11)
Unique sites:
Sm1 0.0394 0.2500 0.3621 (multiplicity 2)
Sm2 0.1487 0.2500 0.9507 (multiplicity 2)
Sm3 0.3489 0.5091 0.2139 (multiplicity 4)
Dy1 0.2903 0.7500 0.9234 (multiplicity 2)
Dy2 0.3918 0.7500 0.5067 (multiplicity 2)
Y1 0.1518 0.2500 0.6631 (multiplicity 2)


Winner for stability: ii